# 1
A plane-wave DFT calculation with PBE was carried out for AlZn after structural relaxation.

Summary:
SG: P6_3/mmc (194)
Formation enthalpy at 0 K (kJ/mol of formula units): 23

Unit cell a=4.042 b=4.042 c=4.992 alpha=90.00 beta=90.00 gamma=120.00
Atoms (fractional coordinates):
Zn1 0.000 0.000 0.500
Zn2 0.000 0.000 0.000
Al1 0.333 0.667 0.250
Al2 0.667 0.333 0.750

# 2
A plane-wave DFT calculation with PBE was carried out for Nd3HoP4 after structural relaxation.

Summary:
SG: Cmmm (65)
Formation enthalpy at 0 K (kJ/mol of formula units): -1194

Unit cell a=4.127 b=7.141 c=7.141 alpha=109.45 beta=90.00 gamma=90.00
Atoms (fractional coordinates):
Ho1 0.500 0.000 0.000
Nd1 0.000 0.000 0.500
Nd2 0.000 0.500 0.000
Nd3 0.500 0.500 0.500
P1 0.500 0.754 0.246
P2 0.500 0.246 0.754
P3 0.000 0.243 0.243
P4 0.000 0.757 0.757